[1]
Below is a relaxed Li2HgSe2 crystal, with properties calculated at the PBE-GGA level.

a = 5.7015 Å, b = 5.7015 Å, c = 5.7015 Å
α = 128.70°, β = 128.70°, γ = 75.50°
With the nearest neighbours (Å) after each atom.
Sites, in units of the cell vectors:
Li1 0.2500 0.7500 0.5000  4 Se 2.68
Li2 0.7500 0.2500 0.5000  4 Se 2.68
Hg1 0.0000 0.0000 0.0000  2 Se 3.29, 8 Li 3.34
Se1 0.3644 0.3644 0.0000  1 Se 2.45, 4 Li 2.68
Se2 0.6356 0.6356 0.0000  1 Se 2.45, 4 Li 2.68

Symmetry: I4/mmm
Total magnetization (μB/cell): 0.0
Polymorph energy (0 for the lowest one) (meV/atom): 0
Density (g/cm³): 5.63
Formation energy from raw total energies (eV/atom): -0.687

---

[2]
Below is a relaxed FeAs2W crystal, with properties calculated at the PBE-GGA level.

a = 4.6379 Å, b = 4.6379 Å, c = 4.4182 Å
α = 104.51°, β = 104.51°, γ = 40.75°
With the nearest neighbours (Å) after each atom.
Sites, in units of the cell vectors:
Fe1 0.0000 0.0000 0.0000  7 As 2.51-2.76
As1 0.2673 0.2673 0.8846  3 Fe 2.51-2.53, 4 W 2.71-2.76
As2 0.5042 0.5042 0.5086  3 W 2.53-2.54, 4 Fe 2.71-2.76
W1 0.7704 0.7704 0.3798  7 As 2.53-2.76

Symmetry: Cm
Total magnetization (μB/cell): 2.0
Polymorph energy (0 for the lowest one) (meV/atom): 65
Density (g/cm³): 10.82

---

[3]
Below is a relaxed CsAsRuBr2 crystal, with properties calculated at the PBE-GGA level.

a = 5.5627 Å, b = 5.5627 Å, c = 4.6687 Å
α = 90.00°, β = 90.00°, γ = 90.00°
With the nearest neighbours (Å) after each atom.
Sites, in units of the cell vectors:
Cs1 0.0000 0.0000 0.0000  8 Br 3.63, 4 As 3.93
As1 0.5000 0.5000 0.0000  2 Ru 2.33
Ru1 0.5000 0.5000 0.5000  2 As 2.33
Br1 0.0000 0.5000 0.5000  2 Ru 2.78
Br2 0.5000 0.0000 0.5000  2 Ru 2.78

Symmetry: P4/mmm
Total magnetization (μB/cell): 0.0
Density (g/cm³): 5.39
Formation energy from raw total energies (eV/atom): -0.394

---

[4]
Below is a relaxed BaIn2Cl crystal, with properties calculated at the PBE-GGA level.

a = 3.9605 Å, b = 5.9317 Å, c = 6.2325 Å
α = 90.00°, β = 90.00°, γ = 90.00°
With the nearest neighbours (Å) after each atom.
Sites, in units of the cell vectors:
Ba1 0.0000 0.0000 0.0000  2 Cl 2.97
In1 0.5000 0.2441 0.5000  2 In 2.90-3.04
In2 0.5000 0.7559 0.5000  2 In 2.90-3.04
Cl1 0.0000 0.5000 0.0000  2 Ba 2.97

Symmetry: Pmmm
Total magnetization (μB/cell): 0.0
Polymorph energy (0 for the lowest one) (meV/atom): 218
Density (g/cm³): 4.56
Formation energy from raw total energies (eV/atom): -0.639

---

[5]
Below is a relaxed Ce2SmDyTl4 crystal, with properties calculated at the PBE-GGA level.

a = 9.4806 Å, b = 9.4806 Å, c = 9.4806 Å
α = 33.51°, β = 33.51°, γ = 33.51°
With the nearest neighbours (Å) after each atom.
Sites, in units of the cell vectors:
Ce1 0.2505 0.2505 0.2505  8 Tl 3.32-3.38
Ce2 0.7495 0.7495 0.7495  8 Tl 3.32-3.38
Sm1 0.5000 0.5000 0.5000  8 Tl 3.35-3.37
Dy1 0.0000 0.0000 0.0000  8 Tl 3.33-3.34
Tl1 0.1243 0.1243 0.1243  1 Dy 3.33, 4 Ce 3.35-3.38, 3 Sm 3.35
Tl2 0.3744 0.3744 0.3744  4 Ce 3.32-3.35, 3 Dy 3.34, 1 Sm 3.37
Tl3 0.6256 0.6256 0.6256  4 Ce 3.32-3.35, 3 Dy 3.34, 1 Sm 3.37
Tl4 0.8757 0.8757 0.8757  1 Dy 3.33, 4 Ce 3.35-3.38, 3 Sm 3.35

DFT total energy (hartree per atom): -0.151
Symmetry: R-3m
Total magnetization (μB/cell): 2.1
Density (g/cm³): 10.13

---

[6]
Below is a relaxed Ac2PrErSe6 crystal, with properties calculated at the PBE-GGA level.

a = 7.9324 Å, b = 7.9324 Å, c = 7.9324 Å
α = 57.55°, β = 57.55°, γ = 57.55°
With the nearest neighbours (Å) after each atom.
Sites, in units of the cell vectors:
Ac1 0.0000 0.0000 0.0000  6 Se 3.09-3.17
Ac2 0.4982 0.4982 0.4982  6 Se 3.11-3.17
Pr1 0.2093 0.2093 0.2093  6 Se 2.93-3.02
Er1 0.7066 0.7066 0.7066  6 Se 2.83-2.88
Se1 0.0690 0.8313 0.4305  1 Er 2.83, 1 Pr 3.02, 1 Ac 3.11
Se2 0.3399 0.5833 0.9155  1 Er 2.88, 1 Pr 2.93, 2 Ac 3.09-3.17
Se3 0.4305 0.0690 0.8313  1 Er 2.83, 1 Pr 3.02, 1 Ac 3.11
Se4 0.5833 0.9155 0.3399  1 Er 2.88, 1 Pr 2.93, 2 Ac 3.09-3.17
Se5 0.8313 0.4305 0.0690  1 Er 2.83, 1 Pr 3.02, 1 Ac 3.11
Se6 0.9155 0.3399 0.5833  1 Er 2.88, 1 Pr 2.93, 2 Ac 3.09-3.17

Symmetry: R3
Total magnetization (μB/cell): 0.0
Density (g/cm³): 6.16
Formation energy from raw total energies (eV/atom): -1.910

---

[7]
Below is a relaxed ScCo crystal, with properties calculated at the PBE-GGA level.

a = 6.4178 Å, b = 6.4178 Å, c = 6.4178 Å
α = 151.22°, β = 59.61°, γ = 129.01°
With the nearest neighbours (Å) after each atom.
Sites, in units of the cell vectors:
Sc1 0.0000 0.0000 0.0000  5 Co 2.53-2.59
Sc2 0.5158 0.2260 0.2898  3 Co 2.57-2.63
Sc3 0.9362 0.2260 0.7102  3 Co 2.57-2.63
Co1 0.1811 0.7929 0.3882  3 Co 2.45-2.49, 5 Sc 2.57-2.63
Co2 0.4047 0.7929 0.6118  3 Co 2.45-2.49, 5 Sc 2.57-2.63
Co3 0.5416 0.5416 0.0000  4 Co 2.45, 1 Sc 2.53

DFT total energy (hartree per atom): -0.252
Symmetry: Imm2
Total magnetization (μB/cell): 0.8
Density (g/cm³): 5.27

---

[8]
Below is a relaxed KLiSb2 crystal, with properties calculated at the PBE-GGA level.

a = 3.3779 Å, b = 5.5504 Å, c = 6.4453 Å
α = 90.00°, β = 90.26°, γ = 90.00°
With the nearest neighbours (Å) after each atom.
Sites, in units of the cell vectors:
K1 0.0000 0.0000 0.0000  2 K 3.38, 8 Sb 3.61-3.68, 2 Li 3.71
Li1 0.9928 0.5000 0.3827  2 Sb 2.81-2.82
Sb1 0.4968 0.0000 0.5046  4 Sb 3.14-3.38, 4 Li 3.34-3.35
Sb2 0.4975 0.5000 0.7321  2 Li 2.81-2.82, 2 Sb 3.14

Symmetry: Pm
Total magnetization (μB/cell): 0.0
Polymorph energy (0 for the lowest one) (meV/atom): 139
Density (g/cm³): 3.98
Formation energy from raw total energies (eV/atom): -0.241